The following is a DFT calculation (PBE) of an optimized crystal structure of OsINF2.

Summary:
Calculated density ... 8.27 g/cm³
DOS at the Fermi energy ... 4.3 states/eV/cell
Formation energy (no corrections) ... 0.04 eV/atom
Energy above the lowest structure with this stoichiometry ... 0 meV/atom

Cell: 4.420 4.420 3.795 Å, 90.00 90.00 90.00°
Space group P4/mmm (No. 123)
One atom of each set of equivalent atoms:
Os: 0.000 0.000 0.000 x1
I: 0.500 0.500 0.500 x1
N: 0.000 0.000 0.500 x1
F: 0.000 0.500 0.000 x2